a.
PaSiAg | GGA-PBE | optimized geometry

a = 4.612 Å, b = 4.612 Å, c = 4.612 Å
α = 60.00°, β = 60.00°, γ = 60.00°
Fractional positions:
Si: 0.000 0.000 0.000
Ag: 0.250 0.250 0.250
Pa: 0.750 0.750 0.750

Results
* crystal system: cubic


b.
PaSiAg | GGA-PBE | optimized geometry

a = 4.751 Å, b = 4.751 Å, c = 4.751 Å
α = 60.00°, β = 60.00°, γ = 60.00°
Fractional positions:
Si: 0.750 0.750 0.750
Ag: 0.250 0.250 0.250
Pa: 0.000 0.000 0.000

Results
* crystal system: cubic


Which one is most stable, and which one is least stable? a is the most stable of them, while b is the least stable.


a.
PaTaAg | GGA-PBE | optimized geometry

a = 4.732 Å, b = 4.732 Å, c = 4.732 Å
α = 60.00°, β = 60.00°, γ = 60.00°
Fractional positions:
Pa: 0.000 0.000 0.000
Ta: 0.750 0.750 0.750
Ag: 0.250 0.250 0.250

Results
* crystal system: cubic


b.
PaTaAg | GGA-PBE | optimized geometry

a = 4.690 Å, b = 4.690 Å, c = 4.690 Å
α = 60.00°, β = 60.00°, γ = 60.00°
Fractional positions:
Ta: 0.750 0.750 0.750
Pa: 0.250 0.250 0.250
Ag: 0.000 0.000 0.000

Results
* crystal system: cubic


Which one is most stable, and which one is least stable? b is the most stable of them, while a is the least stable.


a.
PaZnAg | GGA-PBE | optimized geometry

a = 4.804 Å, b = 4.804 Å, c = 4.804 Å
α = 60.00°, β = 60.00°, γ = 60.00°
Fractional positions:
Ag: 0.250 0.250 0.250
Pa: 0.000 0.000 0.000
Zn: 0.750 0.750 0.750

Results
* crystal system: cubic


b.
PaZnAg | GGA-PBE | optimized geometry

a = 4.590 Å, b = 4.590 Å, c = 4.590 Å
α = 60.00°, β = 60.00°, γ = 60.00°
Fractional positions:
Pa: 0.750 0.750 0.750
Zn: 0.000 0.000 0.000
Ag: 0.250 0.250 0.250

Results
* crystal system: cubic


Which one is most stable, and which one is least stable? b is the most stable of them, while a is the least stable.